A relaxed structure of Sn6OsRu. Source: Alexandria, functional GGA-PBE.

Lattice parameters (Å, degrees): 5.8060 5.8060 6.7535 96.42 96.42 109.16
Closest atoms and distances in Å follow each position.
Fractional coordinates of all 8 atoms:
Sn 0.2489 0.2489 0.7504  1 Ru 2.60, 1 Os 2.61
Sn 0.4239 0.0791 0.2480  1 Ru 2.69, 1 Os 2.69
Sn 0.7511 0.7511 0.2496  1 Ru 2.60, 1 Os 2.61
Sn 0.9209 0.5761 0.7520  1 Ru 2.69, 1 Os 2.69
Sn 0.5761 0.9209 0.7520  1 Ru 2.69, 1 Os 2.69
Sn 0.0791 0.4239 0.2480  1 Ru 2.69, 1 Os 2.69
Os 0.5000 0.5000 0.5000  6 Sn 2.61-2.69
Ru 0.0000 0.0000 0.0000  6 Sn 2.60-2.69

Values from the calculation:
The calculation puts the calculated formation energy at 0.246 eV/atom. The final energy is -5.320 eV/atom.

A relaxed structure of SnOsRu. Source: Alexandria, functional GGA-PBE.

Lattice parameters (Å, degrees): 2.9354 13.7652 4.7659 90.00 90.00 90.00
Closest atoms and distances in Å follow each position.
Fractional coordinates of all 12 atoms:
Sn 0.0000 0.5866 0.7778  3 Os 2.68-2.89, 6 Ru 2.71-2.89, 2 Sn 2.94
Sn 0.0000 0.4134 0.2778  3 Os 2.68-2.89, 6 Ru 2.71-2.89, 2 Sn 2.94
Sn 0.5000 0.0866 0.7778  3 Os 2.68-2.89, 6 Ru 2.71-2.89, 2 Sn 2.94
Sn 0.5000 0.9134 0.2778  3 Os 2.68-2.89, 6 Ru 2.71-2.89, 2 Sn 2.94
Os 0.0000 0.7406 0.4348  3 Sn 2.68-2.89, 3 Ru 2.72-2.84, 6 Os 2.81-2.94
Os 0.0000 0.2594 0.9348  3 Sn 2.68-2.89, 3 Ru 2.72-2.84, 6 Os 2.81-2.94
Os 0.5000 0.2406 0.4348  3 Sn 2.68-2.89, 3 Ru 2.72-2.84, 6 Os 2.81-2.94
Os 0.5000 0.7594 0.9348  3 Sn 2.68-2.89, 3 Ru 2.72-2.84, 6 Os 2.81-2.94
Ru 0.0000 0.0858 0.2559  6 Sn 2.71-2.89, 3 Os 2.72-2.84, 2 Ru 2.94
Ru 0.0000 0.9142 0.7559  6 Sn 2.71-2.89, 3 Os 2.72-2.84, 2 Ru 2.94
Ru 0.5000 0.5858 0.2559  6 Sn 2.71-2.89, 3 Os 2.72-2.84, 2 Ru 2.94
Ru 0.5000 0.4142 0.7559  6 Sn 2.71-2.89, 3 Os 2.72-2.84, 2 Ru 2.94

Values from the calculation:
The calculation puts the calculated formation energy at 0.214 eV/atom. Its distance to the lowest polymorph of the same formula is 25 meV per atom. The final energy is -7.955 eV/atom.

A relaxed structure of SnOsRu. Source: Alexandria, functional GGA-PBE.

Lattice parameters (Å, degrees): 4.8224 2.9502 14.0412 90.00 102.77 90.00
Closest atoms and distances in Å follow each position.
Fractional coordinates of all 12 atoms:
Sn 0.3132 0.0000 0.0900  3 Os 2.68-2.94, 6 Ru 2.75-2.91, 2 Sn 2.95
Sn 0.6868 0.0000 0.9100  3 Os 2.68-2.94, 6 Ru 2.75-2.91, 2 Sn 2.95
Sn 0.3132 0.5000 0.5900  3 Os 2.68-2.94, 6 Ru 2.75-2.91, 2 Sn 2.95
Sn 0.6868 0.5000 0.4100  3 Os 2.68-2.94, 6 Ru 2.75-2.91, 2 Sn 2.95
Os 0.7733 0.0000 0.2381  2 Os 2.60, 1 Sn 2.68, 3 Ru 2.69-2.81
Os 0.2267 0.0000 0.7619  2 Os 2.60, 1 Sn 2.68, 3 Ru 2.69-2.81
Os 0.7733 0.5000 0.7381  2 Os 2.60, 1 Sn 2.68, 3 Ru 2.69-2.81
Os 0.2267 0.5000 0.2619  2 Os 2.60, 1 Sn 2.68, 3 Ru 2.69-2.81
Ru 0.8282 0.0000 0.5828  3 Os 2.69-2.81, 6 Sn 2.75-2.91, 2 Ru 2.95
Ru 0.1718 0.0000 0.4172  3 Os 2.69-2.81, 6 Sn 2.75-2.91, 2 Ru 2.95
Ru 0.8282 0.5000 0.0828  3 Os 2.69-2.81, 6 Sn 2.75-2.91, 2 Ru 2.95
Ru 0.1718 0.5000 0.9172  3 Os 2.69-2.81, 6 Sn 2.75-2.91, 2 Ru 2.95

Values from the calculation:
The calculation puts the calculated formation energy at 0.189 eV/atom. Its distance to the lowest polymorph of the same formula is 0 meV per atom. The final energy is -7.980 eV/atom.

A relaxed structure of TiSnOsRu. Source: Alexandria, functional GGA-PBE.

Lattice parameters (Å, degrees): 4.4611 4.4611 4.4611 60.00 60.00 60.00
Closest atoms and distances in Å follow each position.
Fractional coordinates of all 4 atoms:
Ru 0.5000 0.5000 0.5000  4 Sn 2.73, 4 Ti 2.73
Os 0.0000 0.0000 0.0000  4 Sn 2.73, 4 Ti 2.73
Sn 0.7500 0.7500 0.7500  4 Ru 2.73, 4 Os 2.73
Ti 0.2500 0.2500 0.2500  4 Os 2.73, 4 Ru 2.73

Values from the calculation:
The calculation puts the calculated formation energy at -0.411 eV/atom. The final energy is -8.512 eV/atom.

A relaxed structure of TlSnOsRu2. Source: Alexandria, functional GGA-PBE.

Lattice parameters (Å, degrees): 4.8193 5.0853 4.8193 90.00 90.00 90.00
Closest atoms and distances in Å follow each position.
Fractional coordinates of all 5 atoms:
Ru 0.0000 0.0000 0.5000  2 Os 2.41
Ru 0.5000 0.0000 0.0000  2 Os 2.41
Tl 0.5000 0.5000 0.5000  4 Sn 3.41, 8 Ru 3.50
Os 0.0000 0.0000 0.0000  4 Ru 2.41, 2 Sn 2.54
Sn 0.0000 0.5000 0.0000  2 Os 2.54

Values from the calculation:
The calculation puts the calculated formation energy at 1.220 eV/atom. The final energy is -6.010 eV/atom.

A relaxed structure of USnOsRu. Source: Alexandria, functional GGA-PBE.

Lattice parameters (Å, degrees): 4.7136 4.7136 4.7136 60.00 60.00 60.00
Closest atoms and distances in Å follow each position.
Fractional coordinates of all 4 atoms:
Os 0.5000 0.5000 0.5000  4 U 2.89, 4 Sn 2.89
U 0.2500 0.2500 0.2500  4 Ru 2.89, 4 Os 2.89
Sn 0.7500 0.7500 0.7500  4 Os 2.89, 4 Ru 2.89
Ru 0.0000 0.0000 0.0000  4 Sn 2.89, 4 U 2.89

Values from the calculation:
The calculation puts the calculated formation energy at -0.063 eV/atom. The final energy is -9.012 eV/atom.

A relaxed structure of ZnSnOsRu2. Source: Alexandria, functional GGA-PBE.

Lattice parameters (Å, degrees): 4.4714 4.6380 4.4714 90.00 90.00 90.00
Closest atoms and distances in Å follow each position.
Fractional coordinates of all 5 atoms:
Ru 0.0000 0.0000 0.5000  2 Zn 2.24
Ru 0.5000 0.0000 0.0000  2 Zn 2.24
Zn 0.0000 0.0000 0.0000  4 Ru 2.24, 2 Sn 2.32
Os 0.5000 0.5000 0.5000  4 Sn 3.16, 8 Ru 3.22
Sn 0.0000 0.5000 0.0000  2 Zn 2.32

Values from the calculation:
The calculation puts the calculated formation energy at 1.760 eV/atom. The final energy is -5.252 eV/atom.

A relaxed structure of Sr4OsRu. Source: Alexandria, functional GGA-PBE.

Lattice parameters (Å, degrees): 6.2909 6.2909 6.2909 60.00 60.00 60.00
Closest atoms and distances in Å follow each position.
Fractional coordinates of all 6 atoms:
Sr 0.8743 0.3752 0.3752  6 Sr 3.14-3.15
Sr 0.3752 0.3752 0.8743  6 Sr 3.14-3.15
Sr 0.3752 0.8743 0.3752  6 Sr 3.14-3.15
Sr 0.3752 0.3752 0.3752  6 Sr 3.14-3.15
Os 0.7500 0.7500 0.7500  12 Sr 3.69, 4 Ru 3.85
Ru 0.0000 0.0000 0.0000  12 Sr 3.69, 4 Os 3.85

Values from the calculation:
The calculation puts the calculated formation energy at 1.642 eV/atom. The final energy is -2.897 eV/atom.

A relaxed structure of Sr2OsRu. Source: Alexandria, functional GGA-PBE.

Lattice parameters (Å, degrees): 3.1709 3.7131 9.1081 90.00 90.00 90.00
Closest atoms and distances in Å follow each position.
Fractional coordinates of all 4 atoms:
Os 0.0000 0.0000 0.5793  4 Ru 2.58
Ru 0.5000 0.5000 0.6702  4 Os 2.58
Sr 0.0000 0.0000 0.9210  1 Os 3.11, 2 Sr 3.17, 4 Ru 3.34
Sr 0.5000 0.5000 0.3295  1 Ru 3.10, 2 Sr 3.17, 4 Os 3.34

Values from the calculation:
The calculation puts the calculated formation energy at 0.473 eV/atom. Its distance to the lowest polymorph of the same formula is 64 meV per atom. The final energy is -5.495 eV/atom.

A relaxed structure of Sr2OsRu. Source: Alexandria, functional GGA-PBE.

Lattice parameters (Å, degrees): 5.1075 5.1075 5.1075 60.00 60.00 60.00
Closest atoms and distances in Å follow each position.
Fractional coordinates of all 4 atoms:
Ru 0.0000 0.0000 0.0000  8 Sr 3.13
Os 0.5000 0.5000 0.5000  8 Sr 3.13
Sr 0.2500 0.2500 0.2500  4 Ru 3.13, 4 Os 3.13
Sr 0.7500 0.7500 0.7500  4 Os 3.13, 4 Ru 3.13

Values from the calculation:
The calculation puts the calculated formation energy at 1.091 eV/atom. Its distance to the lowest polymorph of the same formula is 682 meV per atom. The final energy is -4.877 eV/atom.

A relaxed structure of Sr2OsRu. Source: Alexandria, functional GGA-PBE.

Lattice parameters (Å, degrees): 5.0710 5.0710 6.2807 85.59 85.59 33.34
Closest atoms and distances in Å follow each position.
Fractional coordinates of all 4 atoms:
Os 0.2500 0.2500 0.2500  2 Os 2.91, 6 Sr 3.00-3.14
Ru 0.7500 0.7500 0.7500  2 Ru 2.91, 6 Sr 2.99-3.14
Sr 0.9994 0.9994 0.9996  2 Sr 2.91, 3 Ru 2.99-3.14, 3 Os 3.00-3.14
Sr 0.5006 0.5006 0.5004  2 Sr 2.91, 3 Ru 2.99-3.14, 3 Os 3.00-3.14

Values from the calculation:
The calculation puts the calculated formation energy at 1.117 eV/atom. Its distance to the lowest polymorph of the same formula is 708 meV per atom. The final energy is -4.851 eV/atom.

A relaxed structure of Sr2OsRu. Source: Alexandria, functional GGA-PBE.

Lattice parameters (Å, degrees): 3.6201 3.6201 7.2419 90.00 90.00 90.00
Closest atoms and distances in Å follow each position.
Fractional coordinates of all 4 atoms:
Os 0.5000 0.5000 0.2500  8 Sr 3.13
Ru 0.5000 0.5000 0.7500  8 Sr 3.14
Sr 0.0000 0.0000 0.0010  4 Os 3.13, 4 Ru 3.14
Sr 0.0000 0.0000 0.4990  4 Os 3.13, 4 Ru 3.14

Values from the calculation:
The calculation puts the calculated formation energy at 1.094 eV/atom. Its distance to the lowest polymorph of the same formula is 685 meV per atom. The final energy is -4.873 eV/atom.

A relaxed structure of Sr2OsRu. Source: Alexandria, functional GGA-PBE.

Lattice parameters (Å, degrees): 5.3807 5.3807 3.4537 90.00 90.00 116.35
Closest atoms and distances in Å follow each position.
Fractional coordinates of all 4 atoms:
Os 0.5000 0.0000 0.5000  2 Ru 2.84
Ru 0.0000 0.5000 0.5000  2 Os 2.84
Sr 0.0000 0.0000 0.0000  2 Sr 2.84
Sr 0.5000 0.5000 0.0000  2 Sr 2.84

Values from the calculation:
The calculation puts the calculated formation energy at 1.003 eV/atom. Its distance to the lowest polymorph of the same formula is 594 meV per atom. The final energy is -4.965 eV/atom.

A relaxed structure of Sr2OsRu. Source: Alexandria, functional GGA-PBE.

Lattice parameters (Å, degrees): 3.4744 3.4744 9.1340 90.00 90.00 95.46
Closest atoms and distances in Å follow each position.
Fractional coordinates of all 4 atoms:
Os 0.0000 0.0000 0.5802  4 Ru 2.47-2.70
Ru 0.5000 0.5000 0.6691  4 Os 2.47-2.70
Sr 0.0000 0.0000 0.9200  1 Os 3.10, 4 Ru 3.27-3.44, 4 Sr 3.47
Sr 0.5000 0.5000 0.3307  1 Ru 3.09, 4 Os 3.26-3.44

Values from the calculation:
The calculation puts the calculated formation energy at 0.480 eV/atom. Its distance to the lowest polymorph of the same formula is 71 meV per atom. The final energy is -5.487 eV/atom.

no.,density of states at the Fermi level (states/eV/atom)
1,0.53
2,0.52
3,0.53
4,0.12
5,1.17
6,1.27
7,1.29
8,1.29
9,1.07
10,1.92
11,1.05
12,1.89
13,1.04
14,1.19